First-principles (PBE) data for a relaxed structure of BaLa2Se, as listed in Alexandria via LeMat-Bulk.

The structure belongs to space group I-4m2 (No. 119); the cell edges are 4.840, 4.840 and 10.993 Å and the angles 90.00°, 90.00° and 90.00°. The distinct sites, in fractional coordinates, are Ba at (0.000, 0.000, 0.000), La at (0.000, 0.000, 0.500), La at (0.000, 0.500, 0.750) and Se at (0.000, 0.500, 0.250).

The value obtained for the density is 6371 kg/m³. As for the total DFT energy (no corrections): -4.19 eV/atom. The magnetic moment comes out at 0.00 μB/f.u. The uncorrected formation energy comes out at -376 meV per atom.